Entry 1:
A plane-wave DFT calculation with GGA-PBE was carried out for crystalline Tb4C2I5 at its relaxed geometry.

SG	C2/m (12)
electronic total energy	-56.24	eV per cell

Unit cell a=10.104 b=10.104 c=8.595 alpha=102.51 beta=102.51 gamma=22.44
Fractional positions:
I 0.500 0.500 0.000
I 0.161 0.161 0.853
Tb 0.351 0.351 0.422
Tb 0.000 0.000 0.314
Tb 0.000 0.000 0.686
Tb 0.649 0.649 0.578
C 0.464 0.464 0.482
I 0.832 0.832 0.686
I 0.168 0.168 0.314
I 0.839 0.839 0.147
C 0.536 0.536 0.518


Entry 2:
A plane-wave DFT calculation with GGA-PBE was carried out for crystalline TbYC2I2 at its relaxed geometry.

SG	Cm (8)
electronic total energy	-37.79	eV per cell

Unit cell a=4.161 b=4.161 c=11.284 alpha=92.95 beta=92.95 gamma=56.17
Fractional positions:
C 0.577 0.577 0.473
Tb 0.855 0.855 0.378
C 0.422 0.422 0.528
I 0.824 0.824 0.809
I 0.176 0.176 0.191
Y 0.146 0.146 0.622


Entry 3:
A plane-wave DFT calculation with GGA-PBE was carried out for crystalline Th2CI3 at its relaxed geometry.

SG	C2/m (12)
electronic total energy	-69.36	eV per cell

Unit cell a=10.553 b=10.553 c=12.796 alpha=124.94 beta=124.94 gamma=22.72
Fractional positions:
Th 0.433 0.433 0.539
Th 0.129 0.129 0.769
Th 0.567 0.567 0.461
C 0.426 0.426 0.346
I 0.781 0.781 0.377
I 0.671 0.671 0.010
I 0.969 0.969 0.768
C 0.574 0.574 0.654
I 0.329 0.329 0.990
I 0.031 0.031 0.232
Th 0.871 0.871 0.231
I 0.219 0.219 0.623


Entry 4:
A plane-wave DFT calculation with GGA-PBE was carried out for crystalline Zr6CI14 at its relaxed geometry.

SG	Cmce (64)
electronic total energy	-205.47	eV per cell

Unit cell a=11.001 b=11.001 c=13.105 alpha=90.00 beta=90.00 gamma=92.67
Fractional positions:
I 0.286 0.533 0.755
I 0.858 0.858 0.237
I 0.753 0.247 0.000
I 0.967 0.214 0.255
I 0.467 0.714 0.245
I 0.142 0.142 0.763
I 0.394 0.145 0.012
Zr 0.665 0.453 0.891
I 0.786 0.033 0.745
Zr 0.335 0.547 0.109
Zr 0.835 0.047 0.391
I 0.108 0.608 0.250
I 0.355 0.106 0.512
I 0.855 0.606 0.988
I 0.714 0.467 0.245
I 0.358 0.358 0.263
Zr 0.373 0.373 0.908
I 0.892 0.392 0.750
I 0.214 0.967 0.255
Zr 0.165 0.953 0.609
I 0.106 0.355 0.512
I 0.392 0.892 0.750
C 0.000 0.000 0.500
C 0.500 0.500 0.000
I 0.145 0.394 0.012
Zr 0.873 0.873 0.592
I 0.645 0.894 0.488
I 0.606 0.855 0.988
I 0.894 0.645 0.488
I 0.608 0.108 0.250
I 0.747 0.253 0.500
Zr 0.047 0.835 0.391
Zr 0.627 0.627 0.092
I 0.247 0.753 0.000
Zr 0.547 0.335 0.109
Zr 0.127 0.127 0.408
I 0.642 0.642 0.737
I 0.253 0.747 0.500
I 0.033 0.786 0.745
I 0.533 0.286 0.755
Zr 0.453 0.665 0.891
Zr 0.953 0.165 0.609


Entry 5:
A plane-wave DFT calculation with GGA-PBE was carried out for crystalline LaSm2InC at its relaxed geometry.

SG	P4/mmm (123)
electronic total energy	-28.09	eV per cell

Unit cell a=5.091 b=5.091 c=5.167 alpha=90.00 beta=90.00 gamma=90.00
Fractional positions:
Sm 0.000 0.500 0.500
In 0.500 0.500 0.000
La 0.000 0.000 0.000
C 0.000 0.000 0.500
Sm 0.500 0.000 0.500


Entry 6:
A plane-wave DFT calculation with GGA-PBE was carried out for crystalline La2SmInC at its relaxed geometry.

SG	P4/mmm (123)
electronic total energy	-28.21	eV per cell

Unit cell a=5.217 b=5.217 c=5.109 alpha=90.00 beta=90.00 gamma=90.00
Fractional positions:
Sm 0.000 0.000 0.000
La 0.500 0.000 0.500
In 0.500 0.500 0.000
C 0.000 0.000 0.500
La 0.000 0.500 0.500


Entry 7:
A plane-wave DFT calculation with GGA-PBE was carried out for crystalline Lu3InCN at its relaxed geometry.

SG	P-3m1 (164)
electronic total energy	-78.16	eV per cell

Unit cell a=3.437 b=3.437 c=21.496 alpha=90.00 beta=90.00 gamma=120.00
Fractional positions:
In 0.000 0.000 0.255
Lu 0.000 0.000 0.000
In 0.000 0.000 0.745
Lu 0.333 0.667 0.623
Lu 0.000 0.000 0.500
Lu 0.667 0.333 0.377
N 0.333 0.667 0.435
Lu 0.667 0.333 0.127
C 0.667 0.333 0.929
C 0.333 0.667 0.071
Lu 0.333 0.667 0.873
N 0.667 0.333 0.565


Entry 8:
A plane-wave DFT calculation with GGA-PBE was carried out for crystalline Lu4Nb2In3C3 at its relaxed geometry.

SG	C2/c (15)
electronic total energy	-160.27	eV per cell

Unit cell a=5.896 b=5.896 c=15.459 alpha=90.60 beta=100.46 gamma=119.75
Fractional positions:
Nb 0.722 0.524 0.072
Nb 0.047 0.350 0.572
In 0.876 0.126 0.750
In 0.124 0.874 0.250
Lu 0.401 0.042 0.589
C 0.693 0.346 0.500
In 0.167 0.715 0.747
Lu 0.599 0.958 0.411
C 0.000 0.000 0.500
Nb 0.953 0.650 0.428
C 0.307 0.654 0.500
Lu 0.047 0.187 0.089
Lu 0.953 0.813 0.911
C 0.346 0.193 0.000
In 0.532 0.580 0.247
C 0.000 0.500 0.000
In 0.468 0.420 0.753
Nb 0.278 0.476 0.928
In 0.833 0.285 0.253
Lu 0.714 0.697 0.589
Lu 0.286 0.303 0.411
Lu 0.608 0.125 0.911
Lu 0.392 0.875 0.089
C 0.654 0.807 0.000